A plane-wave DFT calculation with GGA-PBEsol was carried out for an optimized crystal structure of CrCdTeI2.

E: -3.075 eV/atom
size of the total moment: 0.851 μB per atom
ΔE_f (raw): 60 kJ per mole of atoms

Unit cell a=5.6729 b=5.6729 c=5.6198 alpha=90.00 beta=90.00 gamma=90.00
Space group P4/mmm (No. 123)
Asymmetric unit:
1 Cr 0.0000 0.0000 0.0000 x1
2 Cd 0.5000 0.5000 0.5000 x1
3 Te 0.5000 0.5000 0.0000 x1
4 I 0.0000 0.5000 0.5000 x2

---

A plane-wave DFT calculation with GGA-PBEsol was carried out for an optimized crystal structure of SnB2Te.

E: -4.945 eV/atom
size of the total moment: 0.000 μB per atom
ΔE_f (raw): 49 kJ per mole of atoms

Unit cell a=5.2556 b=5.2556 c=10.4400 alpha=90.00 beta=90.00 gamma=90.00
Space group I-42d (No. 122)
Asymmetric unit:
1 Sn 0.0000 0.0000 0.0000 x4
2 B 0.2461 0.2500 0.6250 x8
3 Te 0.0000 0.0000 0.5000 x4

---

A plane-wave DFT calculation with GGA-PBEsol was carried out for an optimized crystal structure of ScBe2Se.

E: -4.774 eV/atom
size of the total moment: 0.000 μB per atom
ΔE_f (raw): -15 kJ per mole of atoms

Unit cell a=3.6266 b=3.6266 c=8.4473 alpha=90.00 beta=90.00 gamma=90.00
Space group I-4m2 (No. 119)
Asymmetric unit:
1 Sc 0.0000 0.0000 0.0000 x2
2 Be 0.0000 0.0000 0.5000 x2
3 Be 0.0000 0.5000 0.7500 x2
4 Se 0.0000 0.5000 0.2500 x2

---

A plane-wave DFT calculation with GGA-PBEsol was carried out for an optimized crystal structure of Al2MoCl.

E: -5.139 eV/atom
size of the total moment: 0.001 μB per atom
ΔE_f (raw): 34 kJ per mole of atoms

Unit cell a=3.8476 b=3.8476 c=8.4301 alpha=90.00 beta=90.00 gamma=90.00
Space group I4/mmm (No. 139)
Asymmetric unit:
1 Al 0.0000 0.5000 0.2500 x4
2 Mo 0.0000 0.0000 0.0000 x2
3 Cl 0.0000 0.0000 0.5000 x2

---

A plane-wave DFT calculation with GGA-PBEsol was carried out for an optimized crystal structure of BiAsRh3.

E: -6.496 eV/atom
formation energy: 266 meV/atom
size of the total moment: 0.000 μB per atom

Unit cell a=4.5521 b=4.5521 c=4.5521 alpha=90.00 beta=90.00 gamma=90.00
Space group Pm-3m (No. 221)
Asymmetric unit:
1 Bi 0.0000 0.0000 0.0000 x1
2 As 0.5000 0.5000 0.5000 x1
3 Rh 0.0000 0.5000 0.5000 x3

---

A plane-wave DFT calculation with GGA-PBEsol was carried out for an optimized crystal structure of CaMo2Rh.

E: -8.013 eV/atom
formation energy: 439 meV/atom
size of the total moment: 0.000 μB per atom

Unit cell a=3.1262 b=4.9192 c=8.9314 alpha=90.00 beta=90.00 gamma=90.00
Space group Imm2 (No. 44)
Asymmetric unit:
1 Ca 0.0000 0.0000 0.0000 x2
2 Mo 0.0000 0.0000 0.4891 x2
3 Mo 0.0000 0.5000 0.7816 x2
4 Rh 0.0000 0.5000 0.2317 x2

---

A plane-wave DFT calculation with GGA-PBEsol was carried out for an optimized crystal structure of HgPd3Ru.

E: -3.916 eV/atom
formation energy: 1807 meV/atom
size of the total moment: 0.693 μB per atom

Unit cell a=4.8639 b=4.8639 c=4.8639 alpha=90.00 beta=90.00 gamma=90.00
Space group Pm-3m (No. 221)
Asymmetric unit:
1 Hg 0.0000 0.0000 0.0000 x1
2 Pd 0.0000 0.0000 0.5000 x3
3 Ru 0.5000 0.5000 0.5000 x1

---

A plane-wave DFT calculation with GGA-PBEsol was carried out for an optimized crystal structure of CaSb2Au.

E: -4.224 eV/atom
size of the total moment: 0.000 μB per atom
ΔE_f (raw): -42 kJ per mole of atoms

Unit cell a=4.3839 b=4.2550 c=5.9681 alpha=90.00 beta=106.81 gamma=90.00
Space group P2/m (No. 10)
Asymmetric unit:
1 Ca 0.0000 0.0000 0.0000 x1
2 Sb 0.3566 0.5000 0.7424 x2
3 Au 0.5000 0.0000 0.5000 x1

---

> The lowest E belongs to which entry?

CaMo2Rh